1.
The following is a DFT calculation (GGA-PBE) of a geometry-optimized Li2YLuSn2Pd2 structure.

It has space group P-4m2 (No. 115), with a = 4.734 Å, b = 4.734 Å, c = 6.701 Å, α = 90.00°, β = 90.00° and γ = 90.00°. The asymmetric unit holds Li at (0.000, 0.500, 0.247), Y at (0.000, 0.000, 0.500), Lu at (0.500, 0.500, 0.000), Sn at (0.000, 0.000, 0.000), Sn at (0.500, 0.500, 0.500) and Pd at (0.000, 0.500, 0.757).

For the uncorrected energy, the calculation gives -39.59 eV per cell.

---

2.
The following is a DFT calculation (GGA-PBE) of a geometry-optimized LiLuZrPd structure.

It has space group F-43m (No. 216), with a = 6.689 Å, b = 6.689 Å, c = 6.689 Å, α = 90.00°, β = 90.00° and γ = 90.00°. The asymmetric unit holds Li at (0.000, 0.000, 0.000), Lu at (0.250, 0.250, 0.750), Zr at (0.000, 0.000, 0.500) and Pd at (0.250, 0.250, 0.250).

For the uncorrected energy, the calculation gives -82.61 eV per cell. The energy above the most stable polymorph in this dataset is 0.63 eV per formula unit.

---

3.
The following is a DFT calculation (GGA-PBE) of a geometry-optimized LiLuZrPd structure.

It has space group F-43m (No. 216), with a = 6.812 Å, b = 6.812 Å, c = 6.812 Å, α = 90.00°, β = 90.00° and γ = 90.00°. The asymmetric unit holds Li at (0.000, 0.000, 0.000), Lu at (0.250, 0.250, 0.250), Zr at (0.250, 0.250, 0.750) and Pd at (0.000, 0.000, 0.500).

For the uncorrected energy, the calculation gives -85.12 eV per cell. The energy above the most stable polymorph in this dataset is 0.00 eV per formula unit.

---

4.
The following is a DFT calculation (GGA-PBE) of a geometry-optimized LiPmLu structure.

It has space group F-43m (No. 216), with a = 7.088 Å, b = 7.088 Å, c = 7.088 Å, α = 90.00°, β = 90.00° and γ = 90.00°. The asymmetric unit holds Li at (0.000, 0.000, 0.000), Pm at (0.000, 0.000, 0.500) and Lu at (0.250, 0.250, 0.250).

For the uncorrected energy, the calculation gives -35.12 eV per cell.

---

5.
The following is a DFT calculation (GGA-PBE) of a geometry-optimized LiLuPt2 structure.

It has space group P6_3/mmc (No. 194), with a = 4.3384 Å, b = 4.3384 Å, c = 8.7653 Å, α = 90.00°, β = 90.00° and γ = 120.00°. The asymmetric unit holds Li at (0.0000, 0.0000, 0.0000), Lu at (0.3333, 0.6667, 0.2500) and Pt at (0.3333, 0.6667, 0.5897).

For the uncorrected energy, the calculation gives -44.89 eV per cell. The energy above the most stable polymorph in this dataset is 0.00 eV per formula unit.

---

6.
The following is a DFT calculation (GGA-PBE) of a geometry-optimized LiLuPt2 structure.

It has space group P6_3/mmc (No. 194), with a = 4.4760 Å, b = 4.4760 Å, c = 8.3404 Å, α = 90.00°, β = 90.00° and γ = 120.00°. The asymmetric unit holds Li at (0.0000, 0.0000, 0.2500), Lu at (0.3333, 0.6667, 0.2500) and Pt at (0.3333, 0.6667, 0.5879).

For the uncorrected energy, the calculation gives -42.10 eV per cell. The energy above the most stable polymorph in this dataset is 1.39 eV per formula unit.

---

7.
The following is a DFT calculation (GGA-PBE) of a geometry-optimized Li2LuPt structure.

It has space group F-43m (No. 216), with a = 6.548 Å, b = 6.548 Å, c = 6.548 Å, α = 90.00°, β = 90.00° and γ = 90.00°. The asymmetric unit holds Li at (0.000, 0.000, 0.000), Li at (0.250, 0.250, 0.250), Lu at (0.250, 0.250, 0.750) and Pt at (0.000, 0.000, 0.500).

For the uncorrected energy, the calculation gives -67.04 eV per cell.

---

8.
The following is a DFT calculation (GGA-PBE) of a geometry-optimized LiLuPt2 structure.

It has space group P6_3/mmc (No. 194), with a = 4.5634 Å, b = 4.5634 Å, c = 8.4948 Å, α = 90.00°, β = 90.00° and γ = 120.00°. The asymmetric unit holds Li at (0.3333, 0.6667, 0.2500), Lu at (0.0000, 0.0000, 0.0000) and Pt at (0.3333, 0.6667, 0.5964).

For the uncorrected energy, the calculation gives -43.59 eV per cell. The energy above the most stable polymorph in this dataset is 0.65 eV per formula unit.

---

9.
The following is a DFT calculation (GGA-PBE) of a geometry-optimized LiLuPt2 structure.

It has space group F-43m (No. 216), with a = 6.494 Å, b = 6.494 Å, c = 6.494 Å, α = 90.00°, β = 90.00° and γ = 90.00°. The asymmetric unit holds Li at (0.000, 0.000, 0.000), Lu at (0.250, 0.250, 0.250), Pt at (0.000, 0.000, 0.500) and Pt at (0.250, 0.250, 0.750).

For the uncorrected energy, the calculation gives -87.08 eV per cell. The energy above the most stable polymorph in this dataset is 0.67 eV per formula unit.

---

10.
The following is a DFT calculation (GGA-PBE) of a geometry-optimized Li2YLuSn2Pt2 structure.

It has space group P-4m2 (No. 115), with a = 4.726 Å, b = 4.726 Å, c = 6.689 Å, α = 90.00°, β = 90.00° and γ = 90.00°. The asymmetric unit holds Li at (0.000, 0.500, 0.246), Y at (0.000, 0.000, 0.500), Lu at (0.500, 0.500, 0.000), Sn at (0.000, 0.000, 0.000), Sn at (0.500, 0.500, 0.500) and Pt at (0.000, 0.500, 0.757).

For the uncorrected energy, the calculation gives -42.29 eV per cell.

---

11.
The following is a DFT calculation (GGA-PBE) of a geometry-optimized LiLuZrPt structure.

It has space group F-43m (No. 216), with a = 6.769 Å, b = 6.769 Å, c = 6.769 Å, α = 90.00°, β = 90.00° and γ = 90.00°. The asymmetric unit holds Li at (0.000, 0.000, 0.000), Lu at (0.250, 0.250, 0.250), Zr at (0.250, 0.250, 0.750) and Pt at (0.000, 0.000, 0.500).

For the uncorrected energy, the calculation gives -93.13 eV per cell. The energy above the most stable polymorph in this dataset is 0.00 eV per formula unit.

---

12.
The following is a DFT calculation (GGA-PBE) of a geometry-optimized LiLuZrPt structure.

It has space group F-43m (No. 216), with a = 6.635 Å, b = 6.635 Å, c = 6.635 Å, α = 90.00°, β = 90.00° and γ = 90.00°. The asymmetric unit holds Li at (0.000, 0.000, 0.000), Lu at (0.250, 0.250, 0.750), Zr at (0.000, 0.000, 0.500) and Pt at (0.250, 0.250, 0.250).

For the uncorrected energy, the calculation gives -90.43 eV per cell. The energy above the most stable polymorph in this dataset is 0.68 eV per formula unit.

---

13.
The following is a DFT calculation (GGA-PBE) of a geometry-optimized LiLuPu structure.

It has space group F-43m (No. 216), with a = 6.909 Å, b = 6.909 Å, c = 6.909 Å, α = 90.00°, β = 90.00° and γ = 90.00°. The asymmetric unit holds Li at (0.000, 0.000, 0.000), Lu at (0.250, 0.250, 0.250) and Pu at (0.250, 0.250, 0.750).

For the uncorrected energy, the calculation gives -74.50 eV per cell. The energy above the most stable polymorph in this dataset is 0.00 eV per formula unit.

---

14.
The following is a DFT calculation (GGA-PBE) of a geometry-optimized RbLi3Lu6 structure.

It has space group I4/mmm (No. 139), with a = 8.276 Å, b = 8.276 Å, c = 11.542 Å, α = 90.00°, β = 90.00° and γ = 90.00°. The asymmetric unit holds Rb at (0.000, 0.000, 0.000), Li at (0.000, 0.000, 0.500), Li at (0.000, 0.500, 0.250), Lu at (0.000, 0.000, 0.244) and Lu at (0.000, 0.316, 0.000).

For the uncorrected energy, the calculation gives -38.10 eV per cell.

---

15.
The following is a DFT calculation (GGA-PBE) of a geometry-optimized LiLu2Re structure.

It has space group F-43m (No. 216), with a = 6.773 Å, b = 6.773 Å, c = 6.773 Å, α = 90.00°, β = 90.00° and γ = 90.00°. The asymmetric unit holds Li at (0.000, 0.000, 0.000), Lu at (0.000, 0.000, 0.500), Lu at (0.250, 0.250, 0.750) and Re at (0.250, 0.250, 0.250).

For the uncorrected energy, the calculation gives -86.67 eV per cell.

---

16.
The following is a DFT calculation (GGA-PBE) of a geometry-optimized Li2LuRe structure.

It has space group F-43m (No. 216), with a = 6.553 Å, b = 6.553 Å, c = 6.553 Å, α = 90.00°, β = 90.00° and γ = 90.00°. The asymmetric unit holds Li at (0.000, 0.000, 0.000), Li at (0.250, 0.250, 0.250), Lu at (0.250, 0.250, 0.750) and Re at (0.000, 0.000, 0.500).

For the uncorrected energy, the calculation gives -74.08 eV per cell.

---

17.
The following is a DFT calculation (GGA-PBE) of a geometry-optimized LiLuRe structure.

It has space group F-43m (No. 216), with a = 6.043 Å, b = 6.043 Å, c = 6.043 Å, α = 90.00°, β = 90.00° and γ = 90.00°. The asymmetric unit holds Li at (0.000, 0.000, 0.000), Lu at (0.250, 0.250, 0.750) and Re at (0.250, 0.250, 0.250).

For the uncorrected energy, the calculation gives -63.84 eV per cell. The energy above the most stable polymorph in this dataset is 0.00 eV per formula unit.

---

18.
The following is a DFT calculation (GGA-PBE) of a geometry-optimized LiLuRe structure.

It has space group F-43m (No. 216), with a = 6.455 Å, b = 6.455 Å, c = 6.455 Å, α = 90.00°, β = 90.00° and γ = 90.00°. The asymmetric unit holds Li at (0.000, 0.000, 0.000), Lu at (0.250, 0.250, 0.250) and Re at (0.000, 0.000, 0.500).

For the uncorrected energy, the calculation gives -59.20 eV per cell. The energy above the most stable polymorph in this dataset is 1.16 eV per formula unit.

---

19.
The following is a DFT calculation (GGA-PBE) of a geometry-optimized SrLiLuS3 structure.

It has space group Cmcm (No. 63), with a = 3.954 Å, b = 12.980 Å, c = 10.040 Å, α = 90.00°, β = 90.00° and γ = 90.00°. The asymmetric unit holds Sr at (0.000, 0.247, 0.250), Li at (0.000, 0.026, 0.750), Lu at (0.000, 0.500, 0.000), S at (0.000, 0.133, 0.563) and S at (0.000, 0.425, 0.750).

For the uncorrected energy, the calculation gives -128.25 eV per cell. The energy above the most stable polymorph in this dataset is 0.13 eV per formula unit.

---

20.
The following is a DFT calculation (GGA-PBE) of a geometry-optimized SrLiLuS3 structure.

It has space group P2_1/m (No. 11), with a = 7.565 Å, b = 3.936 Å, c = 9.341 Å, α = 90.00°, β = 106.25° and γ = 90.00°. The asymmetric unit holds Sr at (0.248, 0.250, 0.290), Li at (0.087, 0.250, 0.588), Lu at (0.308, 0.750, 0.847), S at (0.069, 0.250, 0.837), S at (0.247, 0.750, 0.544) and S at (0.440, 0.750, 0.144).

For the uncorrected energy, the calculation gives -63.74 eV per cell. The energy above the most stable polymorph in this dataset is 0.32 eV per formula unit.

---

21.
The following is a DFT calculation (GGA-PBE) of a geometry-optimized SrLiLuS3 structure.

It has space group C2/m (No. 12), with a = 16.700 Å, b = 3.915 Å, c = 8.269 Å, α = 90.00°, β = 104.20° and γ = 90.00°. The asymmetric unit holds Sr at (0.135, 0.000, 0.064), Li at (0.004, 0.500, 0.701), Lu at (0.165, 0.000, 0.584), S at (0.000, 0.000, 0.500), S at (0.000, 0.500, 0.000), S at (0.169, 0.500, 0.361) and S at (0.174, 0.500, 0.807).

For the uncorrected energy, the calculation gives -128.77 eV per cell. The energy above the most stable polymorph in this dataset is 0.00 eV per formula unit.

---

22.
The following is a DFT calculation (GGA-PBE) of a geometry-optimized SrLiLuS3 structure.

It has space group Pnma (No. 62), with a = 13.208 Å, b = 3.947 Å, c = 10.216 Å, α = 90.00°, β = 90.00° and γ = 90.00°. The asymmetric unit holds Sr at (0.228, 0.250, 0.031), Li at (0.006, 0.750, 0.090), Lu at (0.016, 0.250, 0.334), S at (0.095, 0.750, 0.886), S at (0.104, 0.250, 0.568) and S at (0.137, 0.750, 0.249).

For the uncorrected energy, the calculation gives -127.81 eV per cell. The energy above the most stable polymorph in this dataset is 0.24 eV per formula unit.

---

23.
The following is a DFT calculation (GGA-PBE) of a geometry-optimized Li2LuSb structure.

It has space group F-43m (No. 216), with a = 6.932 Å, b = 6.932 Å, c = 6.932 Å, α = 90.00°, β = 90.00° and γ = 90.00°. The asymmetric unit holds Li at (0.000, 0.000, 0.000), Li at (0.250, 0.250, 0.250), Lu at (0.250, 0.250, 0.750) and Sb at (0.000, 0.000, 0.500).

For the uncorrected energy, the calculation gives -55.74 eV per cell.

---

24.
The following is a DFT calculation (GGA-PBE) of a geometry-optimized LiLu2Sc structure.

It has space group F-43m (No. 216), with a = 7.393 Å, b = 7.393 Å, c = 7.393 Å, α = 90.00°, β = 90.00° and γ = 90.00°. The asymmetric unit holds Li at (0.000, 0.000, 0.000), Lu at (0.000, 0.000, 0.500), Lu at (0.250, 0.250, 0.750) and Sc at (0.250, 0.250, 0.250).

For the uncorrected energy, the calculation gives -65.72 eV per cell.

---

25.
The following is a DFT calculation (GGA-PBE) of a geometry-optimized LiLuSc2 structure.

It has space group F-43m (No. 216), with a = 7.251 Å, b = 7.251 Å, c = 7.251 Å, α = 90.00°, β = 90.00° and γ = 90.00°. The asymmetric unit holds Li at (0.000, 0.000, 0.000), Lu at (0.250, 0.250, 0.250), Sc at (0.000, 0.000, 0.500) and Sc at (0.250, 0.250, 0.750).

For the uncorrected energy, the calculation gives -73.20 eV per cell.

---

26.
The following is a DFT calculation (GGA-PBE) of a geometry-optimized Li2LuSc structure.

It has space group F-43m (No. 216), with a = 7.115 Å, b = 7.115 Å, c = 7.115 Å, α = 90.00°, β = 90.00° and γ = 90.00°. The asymmetric unit holds Li at (0.000, 0.000, 0.000), Li at (0.250, 0.250, 0.250), Lu at (0.000, 0.000, 0.500) and Sc at (0.250, 0.250, 0.750).

For the uncorrected energy, the calculation gives -53.57 eV per cell.